# 1
PaSiPd | PBE | relaxed

It has space group F-43m (No. 216), with a = 6.401 Å, b = 6.401 Å, c = 6.401 Å, α = 90.00°, β = 90.00° and γ = 90.00°. The inequivalent atoms are Pa at (0.000, 0.000, 0.000), Si at (0.000, 0.000, 0.500) and Pd at (0.250, 0.250, 0.250).

# 2
PaSiPd | PBE | relaxed

It has space group P3m1 (No. 156), with a = 4.2454 Å, b = 4.2454 Å, c = 3.7411 Å, α = 90.00°, β = 90.00° and γ = 120.00°. The inequivalent atoms are Pa at (0.0000, 0.0000, 0.0000), Si at (0.6667, 0.3333, 0.4838) and Pd at (0.3333, 0.6667, 0.5186).

# 3
PaSiPd | PBE | relaxed

It has space group F-43m (No. 216), with a = 6.569 Å, b = 6.569 Å, c = 6.569 Å, α = 90.00°, β = 90.00° and γ = 90.00°. The inequivalent atoms are Pa at (0.000, 0.000, 0.000), Si at (0.250, 0.250, 0.250) and Pd at (0.250, 0.250, 0.750).

# 4
SmPaPd | PBE | relaxed

It has space group F-43m (No. 216), with a = 6.903 Å, b = 6.903 Å, c = 6.903 Å, α = 90.00°, β = 90.00° and γ = 90.00°. The inequivalent atoms are Sm at (0.000, 0.000, 0.000), Pa at (0.000, 0.000, 0.500) and Pd at (0.250, 0.250, 0.750).

Its energy of formation is 1.55 kcal/mol of atoms. The calculation puts the offset from the most stable computed form at 0.00 eV/f.u.

# 5
SrPaPd | PBE | relaxed

It has space group F-43m (No. 216), with a = 7.107 Å, b = 7.107 Å, c = 7.107 Å, α = 90.00°, β = 90.00° and γ = 90.00°. The inequivalent atoms are Sr at (0.000, 0.000, 0.000), Pa at (0.000, 0.000, 0.500) and Pd at (0.250, 0.250, 0.750).

The calculation puts the offset from the most stable computed form at 0.00 eV/f.u.

# 6
PaTaPd | PBE | relaxed

It has space group F-43m (No. 216), with a = 6.522 Å, b = 6.522 Å, c = 6.522 Å, α = 90.00°, β = 90.00° and γ = 90.00°. The inequivalent atoms are Pa at (0.000, 0.000, 0.000), Ta at (0.000, 0.000, 0.500) and Pd at (0.250, 0.250, 0.250).

Its energy of formation is 10.23 kcal/mol of atoms. The calculation puts the offset from the most stable computed form at 0.00 eV/f.u.

# 7
PaTaPd | PBE | relaxed

It has space group F-43m (No. 216), with a = 6.498 Å, b = 6.498 Å, c = 6.498 Å, α = 90.00°, β = 90.00° and γ = 90.00°. The inequivalent atoms are Pa at (0.000, 0.000, 0.000), Ta at (0.250, 0.250, 0.250) and Pd at (0.250, 0.250, 0.750).

Its energy of formation is 17.56 kcal/mol of atoms. The calculation puts the offset from the most stable computed form at 0.95 eV/f.u.

# 8
PaTePd | PBE | relaxed

It has space group F-43m (No. 216), with a = 6.681 Å, b = 6.681 Å, c = 6.681 Å, α = 90.00°, β = 90.00° and γ = 90.00°. The inequivalent atoms are Pa at (0.000, 0.000, 0.000), Te at (0.000, 0.000, 0.500) and Pd at (0.250, 0.250, 0.250).

The calculation puts the offset from the most stable computed form at 0.00 eV/f.u.

# 9
UPaPd | PBE | relaxed

It has space group F-43m (No. 216), with a = 6.517 Å, b = 6.517 Å, c = 6.517 Å, α = 90.00°, β = 90.00° and γ = 90.00°. The inequivalent atoms are U at (0.000, 0.000, 0.000), Pa at (0.250, 0.250, 0.750) and Pd at (0.000, 0.000, 0.500).

Its energy of formation is 4.88 kcal/mol of atoms. The calculation puts the offset from the most stable computed form at 0.00 eV/f.u.

# 10
YPaPd | PBE | relaxed

It has space group F-43m (No. 216), with a = 6.851 Å, b = 6.851 Å, c = 6.851 Å, α = 90.00°, β = 90.00° and γ = 90.00°. The inequivalent atoms are Y at (0.000, 0.000, 0.000), Pa at (0.000, 0.000, 0.500) and Pd at (0.250, 0.250, 0.750).

Its energy of formation is 0.87 kcal/mol of atoms. The calculation puts the offset from the most stable computed form at 0.00 eV/f.u.

# 11
PaZnPd | PBE | relaxed

It has space group F-43m (No. 216), with a = 6.615 Å, b = 6.615 Å, c = 6.615 Å, α = 90.00°, β = 90.00° and γ = 90.00°. The inequivalent atoms are Pa at (0.000, 0.000, 0.000), Zn at (0.250, 0.250, 0.250) and Pd at (0.250, 0.250, 0.750).

Its energy of formation is 7.12 kcal/mol of atoms.

# 12
PaZnPd | PBE | relaxed

It has space group F-43m (No. 216), with a = 6.478 Å, b = 6.478 Å, c = 6.478 Å, α = 90.00°, β = 90.00° and γ = 90.00°. The inequivalent atoms are Pa at (0.000, 0.000, 0.000), Zn at (0.000, 0.000, 0.500) and Pd at (0.250, 0.250, 0.250).

Its energy of formation is -4.18 kcal/mol of atoms.

| no. | V (A^3/atom) | VASP energy (eV per atom) |
| --- | --- | --- |
| 1 | 21.9 | -7.154 |
| 2 | 19.5 | -7.442 |
| 3 | 23.6 | -6.617 |
| 4 | 27.4 | -6.393 |
| 5 | 29.9 | -5.145 |
| 6 | 23.1 | -8.398 |
| 7 | 22.9 | -8.079 |
| 8 | 24.8 | -6.429 |
| 9 | 23.1 | -8.444 |
| 10 | 26.8 | -7.008 |
| 11 | 24.1 | -5.003 |
| 12 | 22.7 | -5.493 |